DFT (GGA-PBE) results for a relaxed CrSiTc2 crystal.

Calculated values
- E: -36.93 eV/f.u.

Structure (POSCAR):
```
CrSiTc2
1.0
4.971 0.006 0.002
4.057 2.873 0.002
1.654 0.528 3.667
Tc Cr Si
2 1 1
direct
0.994 0.994 0.006 Tc
0.754 0.754 0.746 Tc
0.507 0.507 0.493 Cr
0.245 0.245 0.255 Si
```

=====

DFT (GGA-PBE) results for a relaxed CrSiTc2 crystal.

Calculated values
- E: -36.02 eV/f.u.

Structure (POSCAR):
```
CrSiTc2
1.0
4.223 0.000 0.000
2.112 3.657 0.000
2.112 1.219 3.448
Cr Tc Si
1 2 1
direct
0.500 0.500 0.500 Cr
0.250 0.250 0.250 Tc
0.000 0.000 0.000 Tc
0.750 0.750 0.750 Si
```

=====

DFT (GGA-PBE) results for a relaxed CrSiTc2 crystal.

Calculated values
- E: -35.91 eV/f.u.

Structure (POSCAR):
```
CrSiTc2
1.0
-4.227 2.449 0.398
0.087 -3.967 -2.747
-1.312 -1.834 1.549
Tc Si Cr
2 1 1
direct
0.500 0.000 0.500 Tc
0.000 0.000 0.000 Tc
0.500 0.500 0.000 Si
0.000 0.500 0.500 Cr
```

=====

DFT (GGA-PBE) results for a relaxed Cr2SiTc crystal.

Calculated values
- E: -34.73 eV/f.u.

Structure (POSCAR):
```
Cr2SiTc
1.0
8.384 -0.004 -0.002
7.959 2.636 -0.002
7.959 1.282 2.303
Cr Si Tc
2 1 1
direct
0.502 0.502 0.502 Cr
0.998 0.998 0.998 Cr
0.250 0.250 0.250 Si
0.750 0.750 0.750 Tc
```

=====

DFT (GGA-PBE) results for a relaxed CrSiTc2 crystal.

Calculated values
- E: -35.69 eV/f.u.

Structure (POSCAR):
```
CrSiTc2
1.0
8.430 -0.005 -0.003
7.985 2.703 -0.003
7.985 1.312 2.363
Cr Tc Si
1 2 1
direct
0.498 0.498 0.498 Cr
0.247 0.247 0.247 Tc
0.002 0.002 0.002 Tc
0.753 0.753 0.753 Si
```

=====

DFT (GGA-PBE) results for a relaxed Cr2SiTc crystal.

Calculated values
- E: -32.80 eV/f.u.

Structure (POSCAR):
```
Cr2SiTc
1.0
-5.877 1.133 -2.764
-2.880 -0.535 5.906
-4.076 2.781 1.944
Cr Tc Si
4 2 2
direct
0.375 0.378 0.750 Cr
0.128 0.625 0.250 Cr
0.622 0.125 0.250 Cr
0.875 0.872 0.750 Cr
0.000 0.000 0.000 Tc
0.750 0.250 0.500 Tc
0.250 0.750 0.500 Si
0.500 0.500 0.000 Si
```

=====

DFT (GGA-PBE) results for a relaxed CrSi2Tc crystal.

Calculated values
- E: -32.37 eV/f.u.

Structure (POSCAR):
```
CrSi2Tc
1.0
3.077 0.000 0.000
0.000 3.077 0.000
0.000 0.000 5.352
Cr Tc Si
1 1 2
direct
0.500 0.500 0.785 Cr
0.000 0.000 0.476 Tc
0.500 0.500 0.251 Si
0.000 0.000 0.988 Si
```

=====

DFT (GGA-PBE) results for a relaxed CrSiTc2 crystal.

Calculated values
- E: -35.80 eV/f.u.

Structure (POSCAR):
```
CrSiTc2
1.0
8.302 -0.007 -0.004
7.843 2.723 -0.004
7.843 1.319 2.382
Si Tc Cr
1 2 1
direct
0.750 0.750 0.750 Si
0.000 0.000 0.000 Tc
0.500 0.500 0.500 Tc
0.250 0.250 0.250 Cr
```